# Rb3Ag2I2Cl4

Rb3Ag2I2Cl4 after structural relaxation (PBE, Alexandria via LeMat-Bulk).

abc: 5.1655 5.1655 14.6798
angles: 100.13 100.13 90.00
Closest atoms and distances in Å follow each position.
Positions (direct):
Rb (0.0000, 0.0000, 0.0000)  8 Cl 3.40
Rb (0.1666, 0.1666, 0.3333)  4 Cl 3.61, 5 I 3.75-3.87
Rb (0.8334, 0.8334, 0.6667)  4 Cl 3.61, 5 I 3.75-3.87
Ag (0.4055, 0.4055, 0.8110)  4 Cl 2.63, 1 I 2.92
Ag (0.5945, 0.5945, 0.1890)  4 Cl 2.63, 1 I 2.92
I (0.3028, 0.3028, 0.6056)  1 Ag 2.92
I (0.6972, 0.6972, 0.3944)  1 Ag 2.92
Cl (0.4221, 0.9221, 0.8441)  2 Ag 2.63
Cl (0.9221, 0.4221, 0.8441)  2 Ag 2.63
Cl (0.0779, 0.5779, 0.1559)  2 Ag 2.63
Cl (0.5779, 0.0779, 0.1559)  2 Ag 2.63

Values from the calculation:
E_form (uncorrected)   -12.5 eV per formula unit
SG   I4/mmm (139)